Record 1
An optimized crystal structure of LaZnCo2Pd, computed with PBE.

a b c (Å): 4.740 4.660 4.740
angles (deg): 90.00 90.00 90.00
Element x y z (fractional)
1 Pd 0.000 0.000 0.000
2 La 0.500 0.500 0.500
3 Co 0.500 0.000 0.000
4 Zn 0.000 0.500 0.000
5 Co 0.000 0.000 0.500

- size of the total moment (Bohr magnetons per cell) = 3.47
- mass density (Mg/m³) = 6.80
- space group = P4/mmm (123)
- formation energy from the elements (meV per atom) = 325

Record 2
An optimized crystal structure of Ni2SbRu, computed with PBE.

a b c (Å): 3.207 3.212 5.489
angles (deg): 90.00 90.00 90.00
Element x y z (fractional)
1 Ru 0.000 0.000 0.489
2 Ni 0.500 0.500 0.227
3 Ni 0.000 0.000 0.024
4 Sb 0.500 0.500 0.759

- size of the total moment (Bohr magnetons per cell) = 0.29
- energy relative to the elements, uncorrected (eV/atom) = 0.113
- mass density (Mg/m³) = 9.99
- space group = P4mm (99)

Record 3
An optimized crystal structure of TaTePtN2, computed with PBE.

a b c (Å): 3.823 3.823 8.006
angles (deg): 90.00 90.00 90.00
Element x y z (fractional)
1 Te 0.000 0.000 0.500
2 Pt 0.000 0.000 0.000
3 N 0.000 0.500 0.000
4 Ta 0.500 0.500 0.500
5 N 0.500 0.000 0.000

- size of the total moment (Bohr magnetons per cell) = 2.17
- energy relative to the elements, uncorrected (eV/atom) = 1.555
- mass density (Mg/m³) = 7.54
- space group = P4/mmm (123)
- offset from the most stable computed form (eV/atom) = 1.120

Record 4
An optimized crystal structure of Zr2Ru, computed with PBE.

a b c (Å): 5.532 5.532 5.532
angles (deg): 60.00 60.00 60.00
Element x y z (fractional)
1 Zr 0.625 0.625 0.625
2 Zr 0.125 0.625 0.625
3 Zr 0.625 0.625 0.125
4 Ru 0.000 0.000 0.000
5 Zr 0.625 0.125 0.625
6 Ru 0.250 0.250 0.250

- size of the total moment (Bohr magnetons per cell) = 2.15
- mass density (Mg/m³) = 7.87
- space group = Fd-3m (227)
- formation energy from the elements (meV per atom) = 646

Record 5
An optimized crystal structure of BaTmTlSn, computed with PBE.

a b c (Å): 5.662 5.662 5.662
angles (deg): 60.00 60.00 60.00
Element x y z (fractional)
1 Ba 0.000 0.000 0.000
2 Sn 0.250 0.250 0.250
3 Tl 0.750 0.750 0.750
4 Tm 0.500 0.500 0.500

- size of the total moment (Bohr magnetons per cell) = 0.00
- mass density (Mg/m³) = 8.14
- space group = F-43m (216)
- formation energy from the elements (meV per atom) = -333

Record 6
An optimized crystal structure of NdHoNiI, computed with PBE.

a b c (Å): 4.061 4.062 8.281
angles (deg): 90.00 104.20 120.00
Element x y z (fractional)
1 Ho 0.090 0.943 0.049
2 Ni 0.309 0.552 0.876
3 Nd 0.516 0.156 0.688
4 I 0.962 0.379 0.357

- size of the total moment (Bohr magnetons per cell) = 0.00
- energy relative to the elements, uncorrected (eV/atom) = -0.658
- mass density (Mg/m³) = 7.24
- space group = R3m (160)

Record 7
An optimized crystal structure of Rb3YU2Se6, computed with PBE.

a b c (Å): 7.363 7.363 8.411
angles (deg): 98.38 98.38 120.01
Element x y z (fractional)
1 Se 0.602 0.934 0.802
2 Se 0.066 0.398 0.198
3 Rb 0.500 0.500 0.500
4 Se 0.733 0.733 0.198
5 U 0.667 0.333 0.000
6 U 0.333 0.667 0.000
7 Se 0.267 0.267 0.802
8 Se 0.398 0.066 0.198
9 Y 0.000 0.000 0.000
10 Rb 0.166 0.834 0.500
11 Se 0.934 0.602 0.802
12 Rb 0.834 0.166 0.500

- size of the total moment (Bohr magnetons per cell) = 6.01
- energy relative to the elements, uncorrected (eV/atom) = -1.377
- mass density (Mg/m³) = 5.69
- space group = C2/m (12)

Record 8
An optimized crystal structure of Tl6TeSe2I, computed with PBE.

a b c (Å): 7.759 7.782 8.400
angles (deg): 62.59 62.69 59.82
Element x y z (fractional)
1 Tl 0.693 0.285 0.194
2 Tl 0.082 0.450 0.785
3 Tl 0.825 0.698 0.192
4 I 0.262 0.263 0.207
5 Te 0.836 0.839 0.485
6 Tl 0.692 0.085 0.777
7 Se 0.491 0.492 0.525
8 Se 0.046 0.041 0.871
9 Tl 0.281 0.828 0.195
10 Tl 0.454 0.680 0.785

- size of the total moment (Bohr magnetons per cell) = 0.00
- energy relative to the elements, uncorrected (eV/atom) = -0.316
- mass density (Mg/m³) = 7.32
- space group = P1 (1)

Record 9
An optimized crystal structure of CsSbAsO6, computed with PBE.

a b c (Å): 5.183 5.183 6.901
angles (deg): 90.00 90.00 60.00
Element x y z (fractional)
1 As 0.333 0.333 0.500
2 O 0.022 0.371 0.343
3 O 0.371 0.022 0.657
4 Cs 0.000 0.000 0.000
5 O 0.607 0.022 0.343
6 O 0.371 0.607 0.343
7 Sb 0.667 0.667 0.500
8 O 0.022 0.607 0.657
9 O 0.607 0.371 0.657

- size of the total moment (Bohr magnetons per cell) = 1.08
- energy relative to the elements, uncorrected (eV/atom) = -1.245
- mass density (Mg/m³) = 4.40
- space group = P312 (149)

> What is the formula in the fifth record?

BaTmTlSn

> Which formula does entry 8 have?

Tl6TeSe2I

Repeat the fourth record exactly.
An optimized crystal structure of Zr2Ru, computed with PBE.

a b c (Å): 5.532 5.532 5.532
angles (deg): 60.00 60.00 60.00
Element x y z (fractional)
1 Zr 0.625 0.625 0.625
2 Zr 0.125 0.625 0.625
3 Zr 0.625 0.625 0.125
4 Ru 0.000 0.000 0.000
5 Zr 0.625 0.125 0.625
6 Ru 0.250 0.250 0.250

- size of the total moment (Bohr magnetons per cell) = 2.15
- mass density (Mg/m³) = 7.87
- space group = Fd-3m (227)
- formation energy from the elements (meV per atom) = 646